Computed, not measured: crystalline Ce3YOs2 at its relaxed geometry at the PBE level of DFT.

Properties
formation enthalpy at 0 K: -72.4 kJ/mol of formula units
E: -0.5816 Ry/atom

Lattice parameters (Å, degrees): 16.9555 4.0357 9.3782 90.00 115.30 90.00
With the nearest neighbours (Å) after each atom.
Space group C2/m (No. 12)
Asymmetric unit:
Ce (0.0532, 0.0000, 0.3789) x4  2 Os 2.69
Ce (0.1345, 0.5000, 0.7340) x4  2 Os 2.70
Ce (0.2215, 0.5000, 0.3820) x4  2 Ce 2.84, 2 Os 2.92-3.00
Y (0.1096, 0.0000, 0.0336) x4  7 Os 3.03-3.08
Os (0.0289, 0.5000, 0.1741) x4  3 Ce 2.69-3.00, 1 Os 2.98
Os (0.2414, 0.0000, 0.8942) x4  3 Ce 2.70-2.92, 2 Os 2.76